[1]
# SmTmPd14 (PBE, optimized geometry)
data_SmTmPd14
_chemical_formula_sum 'Sm1 Tm1 Pd14'
_symmetry_space_group_name_H-M 'P 4/m m m'
_symmetry_Int_Tables_number 123
_symmetry_space_group_name_Hall '-P 4 2'
_cell_length_a 5.770
_cell_length_b 5.770
_cell_length_c 7.962
_cell_angle_alpha 90.00
_cell_angle_beta 90.00
_cell_angle_gamma 90.00
loop_
_atom_site_label
_atom_site_type_symbol
_atom_site_fract_x
_atom_site_fract_y
_atom_site_fract_z
_atom_site_occupancy
Sm1 Sm 0.000 0.000 0.000 1
Tm1 Tm 0.500 0.500 0.000 1
Pd1 Pd 0.000 0.000 0.500 1
Pd2 Pd 0.000 0.500 0.000 1
Pd3 Pd 0.000 0.500 0.500 1
Pd4 Pd 0.252 0.252 0.259 1
Pd5 Pd 0.500 0.500 0.500 1
# ΔE_f	-403	meV per atom
# total DFT energy (no corrections)	-5.521	eV/atom


[2]
# SiPb2F8 (PBE, optimized geometry)
data_SiPb2F8
_chemical_formula_sum 'Si2 Pb4 F16'
_symmetry_space_group_name_H-M 'C 1 2/m 1'
_symmetry_Int_Tables_number 12
_symmetry_space_group_name_Hall '-C 2y'
_cell_length_a 10.110
_cell_length_b 7.430
_cell_length_c 4.802
_cell_angle_alpha 90.00
_cell_angle_beta 108.52
_cell_angle_gamma 90.00
loop_
_atom_site_label
_atom_site_type_symbol
_atom_site_fract_x
_atom_site_fract_y
_atom_site_fract_z
_atom_site_occupancy
Si1 Si 0.000 0.000 0.000 1
Pb1 Pb 0.161 0.500 0.336 1
F1 F 0.086 0.500 0.805 1
F2 F 0.104 0.165 0.224 1
F3 F 0.106 0.000 0.793 1
# total DFT energy (no corrections)	-5.282	eV/atom